[1]
Compound: Ba4Ge2Pb5
Source: Alexandria
Functional: PBE-GGA
Structure: optimized geometry

Cell: 8.2104 5.1786 9.4655 Å, 90.00 90.96 90.00°
Space group P2/m (No. 10)
Symmetry-distinct sites (fractional):
Ba (0.2132, 0.0000, 0.3605) (multiplicity 2)
Ba (0.2454, 0.0000, 0.8902) (multiplicity 2)
Ge (0.0743, 0.5000, 0.1192) (multiplicity 2)
Pb (0.1266, 0.5000, 0.6293) (multiplicity 2)
Pb (0.4248, 0.5000, 0.1538) (multiplicity 2)
Pb (0.5000, 0.5000, 0.5000) (multiplicity 1)

Summary:
ΔH_f (0 K)   -5.18 eV per formula unit

[2]
Compound: CaTcNi
Source: Alexandria
Functional: PBE-GGA
Structure: optimized geometry

Cell: 2.7706 3.6799 10.6723 Å, 90.00 90.00 90.00°
Space group Imm2 (No. 44)
Symmetry-distinct sites (fractional):
Ca (0.0000, 0.0000, 0.0000) (multiplicity 2)
Tc (0.0000, 0.0000, 0.2843) (multiplicity 2)
Ni (0.0000, 0.0000, 0.7030) (multiplicity 2)

Summary:
Polymorph energy (0 for the lowest one)   0 meV per atom
ΔH_f (0 K)   0.91 eV per formula unit

[3]
Compound: AcTb2PrSm6
Source: Alexandria
Functional: PBE-GGA
Structure: optimized geometry

Cell: 9.3373 15.5063 9.7986 Å, 90.00 96.07 90.00°
Space group C2/c (No. 15)
Symmetry-distinct sites (fractional):
Ac (0.0000, 0.0294, 0.2500) (multiplicity 4)
Tb (0.2470, 0.4445, 0.4532) (multiplicity 8)
Pr (0.0000, 0.4086, 0.7500) (multiplicity 4)
Sm (0.0655, 0.1856, 0.9441) (multiplicity 8)
Sm (0.0998, 0.3919, 0.1191) (multiplicity 8)
Sm (0.2111, 0.2310, 0.3205) (multiplicity 8)

Summary:
ΔH_f (0 K)   1.23 eV per formula unit

[4]
Compound: Ce2PuPb2
Source: Alexandria
Functional: PBE-GGA
Structure: optimized geometry

Cell: 5.2805 5.2805 11.6339 Å, 90.00 90.00 120.00°
Space group P6_3/mmc (No. 194)
Symmetry-distinct sites (fractional):
Ce (0.0000, 0.0000, 0.0000) (multiplicity 2)
Ce (0.3333, 0.6667, 0.2500) (multiplicity 2)
Pu (0.0000, 0.0000, 0.2500) (multiplicity 2)
Pb (0.3333, 0.6667, 0.6120) (multiplicity 4)

Summary:
Polymorph energy (0 for the lowest one)   0 meV per atom
ΔH_f (0 K)   -1.43 eV per formula unit

[5]
Compound: Dy2Y3Al2
Source: Alexandria
Functional: PBE-GGA
Structure: optimized geometry

Cell: 3.4461 32.3258 3.4648 Å, 90.00 90.00 90.00°
Space group Cmmm (No. 65)
Symmetry-distinct sites (fractional):
Dy (0.0000, 0.2032, 0.0000) (multiplicity 4)
Y (0.0000, 0.3778, 0.5000) (multiplicity 4)
Y (0.0000, 0.5000, 0.5000) (multiplicity 2)
Al (0.0000, 0.0616, 0.0000) (multiplicity 4)

Summary:
ΔH_f (0 K)   -1.14 eV per formula unit

[6]
Compound: MnNbFeCo
Source: Alexandria
Functional: PBE-GGA
Structure: optimized geometry

Cell: 5.9405 5.9405 5.9405 Å, 90.00 90.00 90.00°
Space group F-43m (No. 216)
Symmetry-distinct sites (fractional):
Mn (0.0000, 0.0000, 0.0000) (multiplicity 4)
Nb (0.0000, 0.0000, 0.5000) (multiplicity 4)
Fe (0.2500, 0.2500, 0.7500) (multiplicity 4)
Co (0.2500, 0.2500, 0.2500) (multiplicity 4)

Summary:
ΔH_f (0 K)   -0.23 eV per formula unit